VASP calculation (PBE+U) on crystalline K3SrMo2O8 at its relaxed geometry.

a = 6.322 Å, b = 6.322 Å, c = 7.876 Å
α = 90.00°, β = 90.00°, γ = 120.00°
Positions (direct):
O 0.355 0.177 0.695
K 0.333 0.667 0.668
O 0.333 0.667 0.989
Mo 0.667 0.333 0.784
O 0.645 0.823 0.305
Mo 0.333 0.667 0.216
O 0.667 0.333 0.011
K 0.667 0.333 0.332
Sr 0.000 0.000 0.500
K 0.000 0.000 0.000
O 0.823 0.177 0.695
O 0.177 0.823 0.305
O 0.823 0.645 0.695
O 0.177 0.355 0.305

Output
crystal system = trigonal
uncorrected energy = -6.14 eV/atom
calculated density = 3.20 g/cm³